# Gd2CoTc PBE-GGA optimized geometry
data_Gd2CoTc
_chemical_formula_sum 'Gd6 Co3 Tc3'
_space_group_name_H-M_alt 'R -3 m'
_space_group_IT_number 166
_space_group_name_Hall '-R 3 2"'
_cell_length_a 3.4251
_cell_length_b 3.4251
_cell_length_c 24.4897
_cell_angle_alpha 90.00
_cell_angle_beta 90.00
_cell_angle_gamma 120.00
loop_
_atom_site_label
_atom_site_type_symbol
_atom_site_fract_x
_atom_site_fract_y
_atom_site_fract_z
Gd1 Gd 0.0000 0.0000 0.2475
Co1 Co 0.0000 0.0000 0.5000
Tc1 Tc 0.0000 0.0000 0.0000
# - ρ (Mg/m³) = 9.44
# - uncorrected energy (eV/cell) = -132.89
# - DFT formation energy (eV/atom) = 0.334
# - total moment (μB/f.u.) = 13.48
# - ΔE to the lowest computed polymorph (kJ/mol of formula units) = 104.8